[1]
18
Lattice="5.986 -0.006 0.356 0.464 8.918 3.260 0.084 -0.365 9.499" Properties=species:S:1:pos:R:3 comment="Ho4Tm2Sc3 | the Alexandria database | PBE | optimized geometry" e_above_lowest_polymorph_ev_per_atom=0.0192 total_energy_ev_per_cell=-90.497 density_g_cm3=7.319 total_magnetization_mub_per_fu=0.00 e_form_ev_per_fu=1.00 pbc="T T T"
Ho 3.162 0.541 8.176
Ho 6.093 1.363 9.578
Ho 3.372 8.005 4.938
Ho 0.441 7.183 3.536
Ho 4.380 7.432 8.466
Ho 5.255 3.755 3.049
Ho 2.154 1.114 4.648
Ho 1.279 4.791 10.065
Tm 1.448 6.595 7.067
Tm 2.200 4.576 4.107
Tm 5.085 1.951 6.047
Tm 4.334 3.971 9.007
Sc 0.986 8.039 10.042
Sc 2.629 2.341 1.664
Sc 5.547 0.508 3.072
Sc 3.905 6.206 11.450
Sc 1.733 3.367 7.078
Sc 4.800 5.180 6.036


[2]
7
Lattice="-4.968 1.580 0.158 -0.789 -2.208 -2.717 -1.805 -6.499 8.176" Properties=species:S:1:pos:R:3 comment="Ho2TmSc4 | the Alexandria database | PBE | optimized geometry" e_above_lowest_polymorph_ev_per_atom=0.0000 total_energy_ev_per_cell=-37.735 density_g_cm3=5.762 total_magnetization_mub_per_fu=0.00 e_form_ev_per_fu=1.22 pbc="T T T"
Ho -2.807 -0.325 1.078
Ho -4.756 -6.804 4.539
Tm -0.394 -1.104 -1.359
Sc -3.746 -3.311 1.407
Sc -1.804 -5.978 3.011
Sc -3.817 -3.817 4.210
Sc -0.790 -2.730 2.448


[3]
11
Lattice="5.399 -0.189 -0.242 -2.404 7.476 1.125 -2.404 -0.721 7.526" Properties=species:S:1:pos:R:3 comment="HoTm3Sc7 | the Alexandria database | PBE | optimized geometry" total_energy_ev_per_cell=-59.010 density_g_cm3=5.452 total_magnetization_mub_per_fu=0.40 e_form_ev_per_fu=3.30 pbc="T T T"
Ho 0.295 3.283 4.205
Tm -2.404 5.757 2.467
Tm 2.699 -0.094 -0.121
Tm -2.404 0.998 6.183
Sc 0.126 1.364 1.746
Sc -2.235 6.853 5.504
Sc 2.826 2.888 0.426
Sc -2.235 3.678 7.983
Sc -2.404 3.378 4.325
Sc 2.826 -0.287 2.905
Sc 0.464 5.203 6.663